[1]
{"formula": "TaAs2Br", "functional": "PBE", "state": "relaxed", "lattice_angstrom": [[-3.356, 1.103, -0.592], [0.118, -1.757, -3.941], [-2.676, -5.631, 4.682]], "species": ["As", "As", "Br", "Ta"], "frac_coords": [[0.500, 0.321, 0.023], [0.000, 0.849, 0.081], [0.000, 0.603, 0.569], [0.500, 0.727, 0.827]], "formation_energy_uncorrected_kj_per_mol_atoms": -6, "e_above_lowest_polymorph_mev_per_atom": 192.1, "total_magnetization_mub_per_fu": 0.00}

[2]
{"formula": "Ta4AsBr", "functional": "PBE", "state": "relaxed", "lattice_angstrom": [[0.000, 3.936, 3.936], [3.936, 0.000, 3.936], [3.936, 3.936, 0.000]], "species": ["Ta", "Ta", "Ta", "Ta", "As", "Br"], "frac_coords": [[0.375, 0.876, 0.375], [0.876, 0.375, 0.375], [0.375, 0.375, 0.876], [0.375, 0.375, 0.375], [0.750, 0.750, 0.750], [0.000, 0.000, 0.000]], "formation_energy_uncorrected_kj_per_mol_atoms": 82, "total_magnetization_mub_per_fu": 0.00}

[3]
{"formula": "TaAsBr2", "functional": "PBE", "state": "relaxed", "lattice_angstrom": [[-2.623, 3.568, 0.147], [-1.621, -1.028, -3.970], [-3.163, -2.405, 1.914]], "species": ["As", "Br", "Br", "Ta"], "frac_coords": [[0.500, 0.000, 0.500], [0.000, 0.000, 0.000], [0.000, 0.500, 0.500], [0.500, 0.500, 0.000]], "formation_energy_uncorrected_kj_per_mol_atoms": 86, "e_above_lowest_polymorph_mev_per_atom": 1263.2, "total_magnetization_mub_per_fu": 1.77}

[4]
{"formula": "TaAs2Br", "functional": "PBE", "state": "relaxed", "lattice_angstrom": [[-3.182, 4.772, 2.862], [2.531, -1.695, 5.640], [4.314, 5.218, 3.275]], "species": ["Br", "Br", "Ta", "Ta", "As", "As", "As", "As"], "frac_coords": [[0.500, 0.500, 0.000], [0.250, 0.750, 0.500], [0.750, 0.250, 0.500], [0.000, 0.000, 0.000], [0.701, 0.125, 0.250], [0.875, 0.951, 0.750], [0.375, 0.299, 0.750], [0.049, 0.625, 0.250]], "formation_energy_uncorrected_kj_per_mol_atoms": 37, "e_above_lowest_polymorph_mev_per_atom": 634.9, "total_magnetization_mub_per_fu": 0.00}

[5]
{"formula": "TaAsBr2", "functional": "PBE", "state": "relaxed", "lattice_angstrom": [[-0.987, -9.689, 5.911], [0.875, -8.090, 7.972], [-2.306, -7.712, 8.061]], "species": ["As", "Br", "Br", "Ta"], "frac_coords": [[0.750, 0.750, 0.750], [0.974, 0.974, 0.974], [0.526, 0.526, 0.526], [0.250, 0.250, 0.250]], "formation_energy_uncorrected_kj_per_mol_atoms": 6, "e_above_lowest_polymorph_mev_per_atom": 427.4, "total_magnetization_mub_per_fu": 0.44}

[6]
{"formula": "TaAs2Br", "functional": "PBE", "state": "relaxed", "lattice_angstrom": [[2.930, 0.016, 0.000], [-0.703, 2.844, 0.000], [0.000, 0.000, 11.223]], "species": ["Br", "As", "As", "Ta"], "frac_coords": [[0.500, 0.500, 0.250], [0.000, 0.000, 0.928], [0.000, 0.000, 0.572], [0.500, 0.500, 0.750]], "formation_energy_uncorrected_kj_per_mol_atoms": -5, "e_above_lowest_polymorph_mev_per_atom": 207.8, "total_magnetization_mub_per_fu": 0.00}